The following is a GGA-PBE calculation of a relaxed structure of MgSc2Se4, from Alexandria.

Lattice parameters (Å, degrees): 7.6253 7.2699 11.5976 90.00 90.00 90.00
Element x y z (fractional)
Mg 0.2500 0.1280 0.2797
Mg 0.7500 0.8720 0.7203
Mg 0.7500 0.3720 0.7797
Mg 0.2500 0.6280 0.2203
Sc 0.7500 0.1130 0.3109
Sc 0.2500 0.8870 0.6891
Sc 0.2500 0.3870 0.8109
Sc 0.7500 0.6130 0.1891
Sc 0.2500 0.0170 0.0008
Sc 0.7500 0.9830 0.9992
Sc 0.7500 0.4830 0.5008
Sc 0.2500 0.5170 0.4992
Se 0.5066 0.1065 0.8391
Se 0.4934 0.8935 0.1609
Se 0.4934 0.3935 0.3391
Se 0.5066 0.6065 0.6609
Se 0.9934 0.6065 0.6609
Se 0.0066 0.3935 0.3391
Se 0.0066 0.8935 0.1609
Se 0.9934 0.1065 0.8391
Se 0.2500 0.8494 0.4311
Se 0.7500 0.1506 0.5689
Se 0.7500 0.6506 0.9311
Se 0.2500 0.3494 0.0689
Se 0.7500 0.2881 0.1065
Se 0.2500 0.7119 0.8935
Se 0.2500 0.2119 0.6065
Se 0.7500 0.7881 0.3935

Computed properties:
Energy relative to the elements, uncorrected, kJ/mol of atoms: -129
Uncorrected energy, eV per atom: -5.3692
Space group: Pnma, No. 62
D(E_F), states/eV/f.u.: 0.6


The following is a GGA-PBE calculation of a relaxed structure of Y2HoTm3Se6, from Alexandria.

Lattice parameters (Å, degrees): 4.0322 8.1314 9.0557 103.53 102.86 90.00
Element x y z (fractional)
Y 0.8330 0.6660 0.6660
Y 0.1670 0.3340 0.3340
Ho 0.5000 0.0000 0.0000
Tm 0.5000 0.5000 0.0000
Tm 0.8326 0.1666 0.6652
Tm 0.1674 0.8334 0.3348
Se 0.3328 0.9211 0.6657
Se 0.6650 0.5873 0.3300
Se 0.6672 0.0789 0.3343
Se 0.9983 0.2517 0.9965
Se 0.0017 0.7483 0.0035
Se 0.3350 0.4127 0.6700

Computed properties:
Energy relative to the elements, uncorrected, kJ/mol of atoms: -165
Uncorrected energy, eV per atom: -6.0241
Space group: C2/m, No. 12
D(E_F), states/eV/f.u.: 5.6


Number 1: M_tot 0.0 μB/f.u.. Number 2: M_tot 0.0 μB/f.u..